Compound: AcSeF
Source: Alexandria via LeMat-Bulk
Functional: PBE
Structure: relaxed

a b c (Å): 4.327 4.327 7.336
angles (deg): 90.00 90.00 90.00
Fractional coordinates of all 6 atoms:
Ac: 0.500 0.500 0.780
Ac: 0.000 0.000 0.220
Se: 0.500 0.500 0.346
Se: 0.000 0.000 0.654
F: 0.500 0.000 0.000
F: 0.000 0.500 0.000

Summary:
Uncorrected energy, eV per atom: -6.1971
Calculated density, g/cm³: 7.9
Space-group type: No. 129
Formation energy (no corrections), eV/atom: -3.042
M_tot, μB per formula unit: 0.00

=====

Compound: Zn4PdAu3
Source: Alexandria via LeMat-Bulk
Functional: PBE
Structure: relaxed

a b c (Å): 4.559 6.132 9.029
angles (deg): 90.00 90.00 90.00
Fractional coordinates of all 16 atoms:
Zn: 0.500 0.743 0.000
Zn: 0.500 0.743 0.500
Zn: 0.500 0.257 0.000
Zn: 0.500 0.257 0.500
Zn: 0.046 0.743 0.750
Zn: 0.954 0.743 0.250
Zn: 0.954 0.257 0.250
Zn: 0.046 0.257 0.750
Au: 0.000 0.000 0.000
Au: 0.000 0.000 0.500
Au: 0.544 0.000 0.750
Au: 0.456 0.000 0.250
Au: 0.548 0.500 0.750
Au: 0.452 0.500 0.250
Pd: 0.000 0.500 0.000
Pd: 0.000 0.500 0.500

Summary:
Formation enthalpy at 0 K, kJ per mole of atoms: -28.1
Uncorrected energy, eV per atom: -2.8065
Calculated density, g/cm³: 12.6
Space-group type: No. 51
M_tot, μB per formula unit: 0.00

=====

Compound: AsPb2
Source: Alexandria via LeMat-Bulk
Functional: PBE
Structure: relaxed

a b c (Å): 12.835 12.835 12.835
angles (deg): 163.05 163.05 24.06
Fractional coordinates of all 6 atoms:
As: 0.000 0.000 0.000
As: 0.750 0.250 0.500
Pb: 0.564 0.564 0.000
Pb: 0.186 0.686 0.500
Pb: 0.436 0.436 0.000
Pb: 0.314 0.814 0.500

Summary:
Formation enthalpy at 0 K, kJ per mole of atoms: 7.4
Uncorrected energy, eV per atom: -3.9449
Calculated density, g/cm³: 9.0
Space-group type: No. 141
M_tot, μB per formula unit: 0.00

=====

Compound: KHfCo2Ag
Source: Alexandria via LeMat-Bulk
Functional: PBE
Structure: relaxed

a b c (Å): 4.988 5.016 4.988
angles (deg): 90.00 90.00 90.00
Fractional coordinates of all 5 atoms:
Co: 0.000 0.000 0.500
Co: 0.500 0.000 0.000
K: 0.500 0.500 0.500
Hf: 0.000 0.500 0.000
Ag: 0.000 0.000 0.000

Summary:
Formation enthalpy at 0 K, kJ per mole of atoms: 138.1
Uncorrected energy, eV per atom: -4.1917
Calculated density, g/cm³: 5.9
Space-group type: No. 123
M_tot, μB per formula unit: 3.01

=====

Compound: BaTa2VSe8
Source: Alexandria via LeMat-Bulk
Functional: PBE
Structure: relaxed

a b c (Å): 6.550 6.550 9.765
angles (deg): 70.40 70.40 60.00
Fractional coordinates of all 12 atoms:
Ba: 0.500 0.500 0.500
Ta: 0.256 0.256 0.231
Ta: 0.744 0.744 0.769
V: 0.000 0.000 0.000
Se: 0.169 0.169 0.494
Se: 0.643 0.272 0.166
Se: 0.831 0.831 0.506
Se: 0.919 0.643 0.166
Se: 0.081 0.357 0.834
Se: 0.272 0.919 0.166
Se: 0.728 0.081 0.834
Se: 0.357 0.728 0.834

Summary:
Uncorrected energy, eV per atom: -5.9377
Calculated density, g/cm³: 5.9
Space-group type: No. 148
Formation energy (no corrections), eV/atom: -0.719
M_tot, μB per formula unit: 0.95

=====

Compound: RbTl4Ga
Source: Alexandria via LeMat-Bulk
Functional: PBE
Structure: relaxed

a b c (Å): 6.609 6.609 6.609
angles (deg): 60.00 60.00 60.00
Fractional coordinates of all 6 atoms:
Tl: 0.626 0.626 0.123
Tl: 0.626 0.123 0.626
Tl: 0.626 0.626 0.626
Tl: 0.123 0.626 0.626
Ga: 0.000 0.000 0.000
Rb: 0.250 0.250 0.250

Summary:
Formation enthalpy at 0 K, kJ per mole of atoms: 8.4
Uncorrected energy, eV per atom: -2.1561
Calculated density, g/cm³: 7.9
Space-group type: No. 216
M_tot, μB per formula unit: 0.00